Entry 1:
Density functional theory data (PBE with a Hubbard U) for CaNdNiO4 after structural relaxation.

Summary:
- Total DFT energy (no corrections): -45.4 eV/cell
- Space-group type: No. 107

a b c (Å): 6.597 6.597 6.597
angles (deg): 146.61 146.61 47.94
Positions (direct):
Ca 0.000 0.000 0.000
Nd 0.721 0.721 0.000
Ni 0.365 0.365 0.000
O 0.192 0.192 0.000
O 0.357 0.857 0.500
O 0.531 0.531 0.000
O 0.857 0.357 0.500

Entry 2:
Density functional theory data (PBE with a Hubbard U) for Ba3CoTc2O9 after structural relaxation.

Summary:
- Total DFT energy (no corrections): -106.3 eV/cell
- Space-group type: No. 164

a b c (Å): 5.748 5.748 7.078
angles (deg): 90.00 90.00 120.00
Positions (direct):
Ba 0.000 0.000 0.000
Ba 0.333 0.667 0.655
Ba 0.667 0.333 0.345
Co 0.000 0.000 0.500
Tc 0.333 0.667 0.162
Tc 0.667 0.333 0.838
O 0.000 0.500 0.000
O 0.173 0.346 0.322
O 0.173 0.827 0.322
O 0.346 0.173 0.678
O 0.500 0.000 0.000
O 0.500 0.500 0.000
O 0.654 0.827 0.322
O 0.827 0.173 0.678
O 0.827 0.654 0.678

Please write out number 2 again, unchanged.
Density functional theory data (PBE with a Hubbard U) for Ba3CoTc2O9 after structural relaxation.

Summary:
- Total DFT energy (no corrections): -106.3 eV/cell
- Space-group type: No. 164

a b c (Å): 5.748 5.748 7.078
angles (deg): 90.00 90.00 120.00
Positions (direct):
Ba 0.000 0.000 0.000
Ba 0.333 0.667 0.655
Ba 0.667 0.333 0.345
Co 0.000 0.000 0.500
Tc 0.333 0.667 0.162
Tc 0.667 0.333 0.838
O 0.000 0.500 0.000
O 0.173 0.346 0.322
O 0.173 0.827 0.322
O 0.346 0.173 0.678
O 0.500 0.000 0.000
O 0.500 0.500 0.000
O 0.654 0.827 0.322
O 0.827 0.173 0.678
O 0.827 0.654 0.678